No. 1
A relaxed structure of SrHgPb, computed with PBE.

Cell: 5.1072 5.1072 8.1250 Å, 90.00 90.00 120.00°
Space group P6_3mc (No. 186)
Asymmetric unit:
Sr: 0.0000 0.0000 0.0000 x2
Hg: 0.3333 0.6667 0.3026 x2
Pb: 0.3333 0.6667 0.7108 x2

Properties
Its crystal system is hexagonal. The final energy comes out at -14.18 eV for the cell shown.

---

No. 2
A relaxed structure of Sr2HgPb, computed with PBE.

Cell: 8.090 8.090 8.090 Å, 90.00 90.00 90.00°
Space group Fm-3m (No. 225)
Asymmetric unit:
Sr: 0.250 0.250 0.250 x8
Hg: 0.000 0.000 0.000 x4
Pb: 0.000 0.000 0.500 x4

Properties
Its crystal system is cubic. The final energy comes out at -39.19 eV for the cell shown.

---

No. 3
A relaxed structure of Sr2HgPb2, computed with PBE.

Cell: 4.511 4.511 17.135 Å, 90.00 90.00 90.00°
Space group I4/mmm (No. 139)
Asymmetric unit:
Sr: 0.000 0.000 0.099 x4
Hg: 0.000 0.000 0.500 x2
Pb: 0.000 0.500 0.250 x4

Properties
Its crystal system is tetragonal. The final energy comes out at -24.19 eV for the cell shown.

---

No. 4
A relaxed structure of Sr2HgPb, computed with PBE.

Cell: 3.988 3.988 8.277 Å, 90.00 90.00 90.00°
Space group P4/mmm (No. 123)
Asymmetric unit:
Sr: 0.000 0.000 0.241 x2
Hg: 0.500 0.500 0.000 x1
Pb: 0.500 0.500 0.500 x1

Properties
Its crystal system is tetragonal. The final energy comes out at -9.58 eV for the cell shown.

---

Going through the records in order, we get V values of 30.59, 33.10, 34.87, 32.91 A^3/atom.